Compound: BaSc2Co2
Source: the Alexandria database
Functional: PBE-GGA
Structure: optimized geometry

The total moment is 0.0000 μB per atom. As for the density of states at the Fermi level: 3.22 states/eV per cell. The value obtained for the formation energy is 0.056 eV/atom. The offset from the most stable computed form is 0 meV per atom.

The structure belongs to space group I4/mmm (No. 139); the cell edges are 4.419, 4.419 and 11.175 Å and the angles 90.00°, 90.00° and 90.00°. The distinct sites, in fractional coordinates, are Ba at (0.000, 0.000, 0.000), Sc at (0.000, 0.500, 0.250) and Co at (0.000, 0.000, 0.392).